Entry 1:
! LaZrRe2 PBE optimized geometry; values from VASP
! Energy above the lowest structure with this stoichiometry = 348 meV/atom
! Theoretical density = 12.40 g/cm3
! Electronic total energy = -8.9526 eV per atom
&SYSTEM
  ibrav = 0, nat = 4, ntyp = 3
/
ATOMIC_SPECIES
La 138.91 La.upf
Re 186.21 Re.upf
Zr 91.22 Zr.upf
ATOMIC_POSITIONS crystal
La 0.750 0.250 0.500
Re 0.000 0.000 0.000
Re 0.250 0.750 0.500
Zr 0.500 0.500 0.000
CELL_PARAMETERS angstrom
5.718 0.544 0.000
2.447 5.196 0.000
-4.082 -2.870 2.843

Entry 2:
! LaZrRe2 PBE optimized geometry; values from VASP
! Energy above the lowest structure with this stoichiometry = 65 meV/atom
! Theoretical density = 12.53 g/cm3
! Electronic total energy = -9.2361 eV per atom
&SYSTEM
  ibrav = 0, nat = 4, ntyp = 3
/
ATOMIC_SPECIES
Re 186.21 Re.upf
Zr 91.22 Zr.upf
La 138.91 La.upf
ATOMIC_POSITIONS crystal
Re 0.250 0.250 0.250
Re 0.750 0.750 0.750
Zr 0.000 0.000 0.000
La 0.500 0.500 0.500
CELL_PARAMETERS angstrom
0.000 3.418 3.418
3.418 0.000 3.418
3.418 3.418 0.000

Entry 3:
! LaZr2Re PBE optimized geometry; values from VASP
! Energy above the lowest structure with this stoichiometry = 175 meV/atom
! Theoretical density = 8.84 g/cm3
! Electronic total energy = -8.4784 eV per atom
&SYSTEM
  ibrav = 0, nat = 4, ntyp = 3
/
ATOMIC_SPECIES
La 138.91 La.upf
Re 186.21 Re.upf
Zr 91.22 Zr.upf
ATOMIC_POSITIONS crystal
La 0.750 0.750 0.750
Re 0.250 0.250 0.250
Zr 0.957 0.957 0.043
Zr 0.543 0.543 0.457
CELL_PARAMETERS angstrom
6.077 0.003 0.038
5.103 3.299 0.038
2.286 0.675 4.775

Entry 4:
! LaZrRe2 PBE optimized geometry; values from VASP
! Energy above the lowest structure with this stoichiometry = 261 meV/atom
! Theoretical density = 12.40 g/cm3
! Electronic total energy = -9.0399 eV per atom
&SYSTEM
  ibrav = 0, nat = 4, ntyp = 3
/
ATOMIC_SPECIES
La 138.91 La.upf
Re 186.21 Re.upf
Zr 91.22 Zr.upf
ATOMIC_POSITIONS crystal
La 0.750 0.750 0.750
Re 0.994 0.994 0.994
Re 0.506 0.506 0.506
Zr 0.250 0.250 0.250
CELL_PARAMETERS angstrom
9.231 0.023 0.013
8.665 3.182 0.013
8.665 1.552 2.778

Entry 5:
! LaZr2Re PBE optimized geometry; values from VASP
! Energy above the lowest structure with this stoichiometry = 168 meV/atom
! Theoretical density = 8.99 g/cm3
! Electronic total energy = -8.4855 eV per atom
&SYSTEM
  ibrav = 0, nat = 4, ntyp = 3
/
ATOMIC_SPECIES
La 138.91 La.upf
Re 186.21 Re.upf
Zr 91.22 Zr.upf
ATOMIC_POSITIONS crystal
La 0.000 0.000 0.540
Re 0.500 0.500 0.787
Zr 0.000 0.000 0.966
Zr 0.500 0.500 0.207
CELL_PARAMETERS angstrom
-0.448 -2.945 -1.672
-0.027 -1.683 2.972
-7.962 0.947 0.465

Entry 6:
! LaZrRe2 PBE optimized geometry; values from VASP
! Energy above the lowest structure with this stoichiometry = 174 meV/atom
! Theoretical density = 13.01 g/cm3
! Electronic total energy = -9.1271 eV per atom
&SYSTEM
  ibrav = 0, nat = 4, ntyp = 3
/
ATOMIC_SPECIES
La 138.91 La.upf
Re 186.21 Re.upf
Zr 91.22 Zr.upf
ATOMIC_POSITIONS crystal
La 0.750 0.250 0.500
Re 0.001 0.001 0.000
Re 0.499 0.499 0.000
Zr 0.250 0.750 0.500
CELL_PARAMETERS angstrom
-1.427 3.612 -3.990
-4.188 -1.640 -3.281
1.562 1.235 5.199

Entry 7:
! LaZr2Re PBE optimized geometry; values from VASP
! Energy above the lowest structure with this stoichiometry = 457 meV/atom
! Theoretical density = 9.54 g/cm3
! Electronic total energy = -8.1965 eV per atom
&SYSTEM
  ibrav = 0, nat = 4, ntyp = 3
/
ATOMIC_SPECIES
La 138.91 La.upf
Re 186.21 Re.upf
Zr 91.22 Zr.upf
ATOMIC_POSITIONS crystal
La 0.500 0.500 0.000
Re 0.750 0.250 0.500
Zr 0.000 0.000 0.000
Zr 0.250 0.750 0.500
CELL_PARAMETERS angstrom
5.780 0.446 0.000
2.333 5.307 0.000
-4.056 -2.876 2.980

Entry 8:
! LaZr3Re PBE optimized geometry; values from VASP
! Energy above the lowest structure with this stoichiometry = 1614 meV/atom
! Theoretical density = 7.81 g/cm3
! Electronic total energy = -6.6948 eV per atom
&SYSTEM
  ibrav = 0, nat = 5, ntyp = 3
/
ATOMIC_SPECIES
Re 186.21 Re.upf
Zr 91.22 Zr.upf
La 138.91 La.upf
ATOMIC_POSITIONS crystal
Re 0.500 0.500 0.500
Zr 0.000 0.500 0.000
Zr 0.000 0.000 0.500
Zr 0.500 0.000 0.000
La 0.000 0.000 0.000
CELL_PARAMETERS angstrom
-4.388 1.412 2.016
-2.263 -0.689 -4.440
-0.970 -4.779 1.236

Entry 9:
! LaZrRe2 PBE optimized geometry; values from VASP
! Energy above the lowest structure with this stoichiometry = 121 meV/atom
! Theoretical density = 12.49 g/cm3
! Electronic total energy = -9.1800 eV per atom
&SYSTEM
  ibrav = 0, nat = 4, ntyp = 3
/
ATOMIC_SPECIES
La 138.91 La.upf
Re 186.21 Re.upf
Zr 91.22 Zr.upf
ATOMIC_POSITIONS crystal
La 0.500 0.500 0.776
Re 0.000 0.000 0.033
Re 0.500 0.500 0.233
Zr 0.000 0.000 0.458
CELL_PARAMETERS angstrom
-1.869 -2.100 -0.865
1.381 -0.610 2.525
-7.443 4.499 5.158

Entry 10:
! LaZrRe2 PBE optimized geometry; values from VASP
! Energy above the lowest structure with this stoichiometry = 0 meV/atom
! Theoretical density = 11.41 g/cm3
! Electronic total energy = -9.3010 eV per atom
&SYSTEM
  ibrav = 0, nat = 4, ntyp = 3
/
ATOMIC_SPECIES
La 138.91 La.upf
Re 186.21 Re.upf
Zr 91.22 Zr.upf
ATOMIC_POSITIONS crystal
La 0.500 0.789 0.787
Re 0.000 0.002 0.070
Re 0.500 0.229 0.213
Zr 0.000 0.480 0.430
CELL_PARAMETERS angstrom
4.155 0.000 0.000
0.000 3.064 0.026
0.000 1.903 6.907

Entry 11:
! LaZrRe2 PBE optimized geometry; values from VASP
! Energy above the lowest structure with this stoichiometry = 46 meV/atom
! Theoretical density = 12.35 g/cm3
! Electronic total energy = -9.2554 eV per atom
&SYSTEM
  ibrav = 0, nat = 4, ntyp = 3
/
ATOMIC_SPECIES
La 138.91 La.upf
Re 186.21 Re.upf
Zr 91.22 Zr.upf
ATOMIC_POSITIONS crystal
La 0.500 0.500 0.750
Re 0.000 0.000 0.026
Re 0.000 0.000 0.474
Zr 0.500 0.500 0.250
CELL_PARAMETERS angstrom
3.413 0.000 0.000
0.000 3.413 0.000
0.000 0.000 6.954

Entry 12:
! LaRh2 PBE optimized geometry; values from VASP
! Theoretical density = 10.02 g/cm3
! Electronic total energy = -7.2421 eV per atom
&SYSTEM
  ibrav = 0, nat = 6, ntyp = 2
/
ATOMIC_SPECIES
Rh 102.91 Rh.upf
La 138.91 La.upf
ATOMIC_POSITIONS crystal
Rh 0.000 0.500 0.500
Rh 0.500 0.000 0.500
Rh 0.500 0.500 0.000
Rh 0.500 0.500 0.500
La 0.125 0.125 0.125
La 0.875 0.875 0.875
CELL_PARAMETERS angstrom
5.446 0.000 0.000
2.723 4.717 0.000
2.723 1.572 4.447

Which of these has the highest theoretical density? number 6